# CsUGaTe3

A relaxed structure of CsUGaTe3 (GGA-PBE, Alexandria via LeMat-Bulk).

Cell lengths 10.6636, 4.3985, 10.8033 Å; angles 90.00, 108.03, 90.00 degrees
With the nearest neighbours (Å) after each atom.
Sites, in units of the cell vectors:
Cs 0.1869 0.2500 0.2337  1 Ga 3.81, 6 Te 3.85-4.01
Cs 0.8131 0.7500 0.7663  1 Ga 3.81, 6 Te 3.85-4.01
U 0.3516 0.7500 0.8405  6 Te 2.96-3.11
U 0.6484 0.2500 0.1595  6 Te 2.96-3.11
Ga 0.0987 0.2500 0.5495  3 Te 2.86-2.98, 2 Ga 3.00
Ga 0.9013 0.7500 0.4505  3 Te 2.86-2.98, 2 Ga 3.00
Te 0.1412 0.2500 0.8240  1 Ga 2.86, 2 U 3.11
Te 0.2888 0.7500 0.5534  1 U 2.96, 2 Ga 2.98
Te 0.4409 0.7500 0.1415  3 U 3.08-3.09
Te 0.5591 0.2500 0.8585  3 U 3.08-3.09
Te 0.7112 0.2500 0.4466  1 U 2.96, 2 Ga 2.98
Te 0.8588 0.7500 0.1760  1 Ga 2.86, 2 U 3.11

Results
- E_form (uncorrected) (meV per atom) = -680
- magnetization (μB per formula unit) = 2.2
- mass density (g cm⁻³) = 5.68